First-principles (GGA-PBE) data for crystalline Pm5NiAg4 at its relaxed geometry, as listed in Alexandria.

Summary:
calculated formation energy: -0.26 eV/atom

```
Pm5NiAg4
1.0
-0.5220 3.0674 -1.8909
-3.5695 -0.7014 -0.1524
-2.5518 9.4889 16.0973
Ni Pm Ag
1 5 4
direct
0.0000 0.0000 0.0000
0.5000 0.5000 0.9124
0.5000 0.5000 0.7056
0.5000 0.5000 0.0876
0.5000 0.5000 0.2944
0.5000 0.5000 0.5000
0.0000 0.0000 0.1927
0.0000 0.0000 0.6028
0.0000 0.0000 0.8073
0.0000 0.0000 0.3972
```